[1]
First-principles (GGA-PBE) data for LiAg2IrO4 after structural relaxation, as listed in Alexandria.

a = 8.194 Å, b = 6.336 Å, c = 5.801 Å
α = 90.00°, β = 134.89°, γ = 90.00°
Fractional positions:
1 Li 0.000 0.000 0.000
2 Li 0.500 0.500 0.000
3 Ag 0.000 0.250 0.500
4 Ag 0.000 0.500 0.000
5 Ag 0.500 0.000 0.000
6 Ag 0.500 0.750 0.500
7 Ir 0.000 0.750 0.500
8 Ir 0.500 0.250 0.500
9 O 0.140 0.787 0.348
10 O 0.209 0.214 0.070
11 O 0.291 0.714 0.930
12 O 0.360 0.287 0.652
13 O 0.640 0.287 0.348
14 O 0.709 0.714 0.070
15 O 0.791 0.214 0.930
16 O 0.860 0.787 0.652

Formation energy (no corrections): -565 meV/atom
SG: C2

[2]
First-principles (GGA-PBE) data for LiPmAgIr after structural relaxation, as listed in Alexandria.

a = 6.819 Å, b = 6.819 Å, c = 6.819 Å
α = 90.00°, β = 90.00°, γ = 90.00°
Fractional positions:
1 Li 0.000 0.000 0.000
2 Li 0.000 0.500 0.500
3 Li 0.500 0.000 0.500
4 Li 0.500 0.500 0.000
5 Pm 0.000 0.000 0.500
6 Pm 0.000 0.500 0.000
7 Pm 0.500 0.000 0.000
8 Pm 0.500 0.500 0.500
9 Ag 0.250 0.250 0.750
10 Ag 0.250 0.750 0.250
11 Ag 0.750 0.250 0.250
12 Ag 0.750 0.750 0.750
13 Ir 0.250 0.250 0.250
14 Ir 0.250 0.750 0.750
15 Ir 0.750 0.250 0.750
16 Ir 0.750 0.750 0.250

Raw total energy: -4.83 eV/atom
SG: F-43m

[3]
First-principles (GGA-PBE) data for LiPrAgIr after structural relaxation, as listed in Alexandria.

a = 6.899 Å, b = 6.899 Å, c = 6.899 Å
α = 90.00°, β = 90.00°, γ = 90.00°
Fractional positions:
1 Li 0.000 0.000 0.000
2 Li 0.000 0.500 0.500
3 Li 0.500 0.000 0.500
4 Li 0.500 0.500 0.000
5 Pr 0.000 0.000 0.500
6 Pr 0.000 0.500 0.000
7 Pr 0.500 0.000 0.000
8 Pr 0.500 0.500 0.500
9 Ag 0.250 0.250 0.250
10 Ag 0.250 0.750 0.750
11 Ag 0.750 0.250 0.750
12 Ag 0.750 0.750 0.250
13 Ir 0.250 0.250 0.750
14 Ir 0.250 0.750 0.250
15 Ir 0.750 0.250 0.250
16 Ir 0.750 0.750 0.750

Raw total energy: -4.78 eV/atom
SG: F-43m

[4]
First-principles (GGA-PBE) data for LiPuAgIr after structural relaxation, as listed in Alexandria.

a = 6.677 Å, b = 6.677 Å, c = 6.677 Å
α = 90.00°, β = 90.00°, γ = 90.00°
Fractional positions:
1 Li 0.000 0.000 0.000
2 Li 0.000 0.500 0.500
3 Li 0.500 0.000 0.500
4 Li 0.500 0.500 0.000
5 Pu 0.250 0.250 0.750
6 Pu 0.250 0.750 0.250
7 Pu 0.750 0.250 0.250
8 Pu 0.750 0.750 0.750
9 Ag 0.250 0.250 0.250
10 Ag 0.250 0.750 0.750
11 Ag 0.750 0.250 0.750
12 Ag 0.750 0.750 0.250
13 Ir 0.000 0.000 0.500
14 Ir 0.000 0.500 0.000
15 Ir 0.500 0.000 0.000
16 Ir 0.500 0.500 0.500

Raw total energy: -7.02 eV/atom
SG: F-43m